# 1
AcLa2BrO4 | PBE-GGA | relaxed

Properties
**DOS(E_F)**: 0.00 states/eV/f.u.
**SG**: P4/mmm, No. 123
**Raw formation energy**: -74.66 kcal/mol of atoms
**M_tot**: 0.00 μB/f.u.
**Calculated total energy**: -7.67 eV per atom

extended XYZ file:
```
8
Lattice="-1.8428 -0.2577 3.7311 -1.9036 -3.5157 -1.1830 7.5342 -5.2106 3.3613" Properties=species:S:1:pos:R:3 pbc="T T T"
Ac 0.0000 0.0000 0.0000
O 0.2894 -0.9662 2.4057
La 0.1176 -3.2635 2.1622
Br 3.7671 -2.6053 1.6806
La 3.6702 -5.7205 3.7471
O 0.2590 -2.5952 -0.0513
O 5.3716 -6.1310 2.2296
O 5.4020 -4.5021 4.6866
```

# 2
K2PaAs3O12 | PBE-GGA | relaxed

Properties
**DOS(E_F)**: 8.53 states/eV/f.u.
**SG**: R-3m, No. 166
**Raw formation energy**: -37.07 kcal/mol of atoms
**M_tot**: 1.69 μB/f.u.
**Calculated total energy**: -6.34 eV per atom

extended XYZ file:
```
18
Lattice="-6.6665 -3.1288 -0.7721 -1.0660 -7.0844 -1.8715 -2.7279 -5.1362 4.5832" Properties=species:S:1:pos:R:3 pbc="T T T"
K -6.3216 -9.2760 1.1722
As -0.5330 -3.5422 -0.9357
O -4.5854 -2.9055 -0.3036
O -3.9562 -9.1077 -0.5043
O -4.9505 -7.9421 3.3573
O -9.0931 -10.1711 2.8751
O -6.5043 -6.2417 2.4440
O -5.5101 -7.4073 -1.4176
O -2.3223 -4.0589 2.7735
O -8.1382 -11.2905 -0.8338
As -1.3640 -2.5681 2.2916
O -3.1538 -8.6082 1.7863
O -1.3674 -5.1783 -0.9354
Pa 0.0000 0.0000 0.0000
K -4.1390 -6.0734 0.7675
O -7.3067 -6.7412 0.1535
O -5.8751 -12.4439 2.2434
As -3.3333 -1.5644 -0.3860
```

# 3
Ag2HS | PBE-GGA | relaxed

Properties
**DOS(E_F)**: 1.61 states/eV/f.u.
**SG**: P2/c, No. 13
**M_tot**: 0.00 μB/f.u.
**Calculated total energy**: -3.09 eV per atom
**Excess energy over the best structure of this formula in the dataset**: 0.0 meV per atom

extended XYZ file:
```
16
Lattice="4.0075 0.0000 0.0000 0.0000 4.9003 1.8349 0.0000 5.7798 15.6877" Properties=species:S:1:pos:R:3 pbc="T T T"
Ag 1.0053 1.0362 0.9682
S 0.9983 7.2011 11.2390
S 3.0092 3.4790 6.2836
S 0.9983 8.8190 15.0450
Ag 0.9986 4.5321 10.6736
Ag 3.0090 6.1479 6.8491
Ag 3.0022 6.3762 9.7295
Ag 1.0053 4.3038 7.7932
Ag 3.0090 4.0924 3.7472
S 3.0092 1.8611 2.4777
H 3.0019 6.4007 14.0193
H 1.0056 4.2794 3.5034
Ag 3.0022 9.6438 16.5545
H 1.0056 5.9609 7.0929
Ag 0.9986 6.5877 13.7755
H 3.0019 4.7191 10.4298
```

# 4
Sm4Er5Tm3 | PBE-GGA | relaxed

Properties
**DOS(E_F)**: 19.67 states/eV/f.u.
**SG**: C2/m, No. 12
**M_tot**: 0.61 μB/f.u.
**Energy relative to the elements**: 0.239 eV per atom
**Calculated total energy**: -4.35 eV per atom

extended XYZ file:
```
12
Lattice="-2.6313 -5.1762 -0.8189 5.4867 -5.5826 -3.3387 -2.3125 -3.5098 8.6193" Properties=species:S:1:pos:R:3 pbc="T T T"
Tm 1.7877 -7.4794 -0.4593
Sm -1.5903 -3.3088 5.0284
Tm 1.5871 -4.5462 2.6403
Sm 1.7199 -8.3779 5.4372
Sm -1.1769 -5.8907 -0.9756
Er -1.1002 -2.9593 1.2446
Er 1.6962 -4.0737 -0.6964
Sm 2.1332 -10.9598 -0.5667
Er -1.1533 -10.1949 5.1580
Er 1.6431 -11.3093 3.2170
Tm -1.2447 -6.7892 4.9209
Er 0.2715 -7.1343 2.2308
```

# 5
CuSeO5 | PBE-GGA | relaxed

Properties
**DOS(E_F)**: 1.39 states/eV/f.u.
**SG**: P2_12_12_1, No. 19
**Raw formation energy**: -4.72 kcal/mol of atoms
**M_tot**: 1.00 μB/f.u.
**Calculated total energy**: -4.83 eV per atom
**Excess energy over the best structure of this formula in the dataset**: 222.6 meV per atom

extended XYZ file:
```
28
Lattice="5.3731 0.0000 0.0000 0.0000 6.6944 0.0000 0.0000 0.0000 10.8455" Properties=species:S:1:pos:R:3 pbc="T T T"
O 2.3744 0.9887 3.3576
O 2.9988 4.3359 2.0651
O 1.4538 3.2306 9.7077
O 4.1403 0.1166 1.1378
Se 1.6361 4.8204 9.0844
O 1.2328 3.4638 4.2850
O 4.4745 2.0377 10.3574
O 5.0610 2.3585 7.4879
O 1.7879 1.3095 0.4881
Se 1.0505 1.8740 3.6617
O 0.1065 4.5554 0.7089
Cu 1.9281 3.9362 5.9887
Se 3.7371 1.4732 7.1837
O 2.7953 1.0475 8.5641
O 2.7930 5.4862 10.1365
O 2.5779 4.3947 7.7041
Cu 3.4450 0.5890 10.2795
O 5.2644 5.6469 3.1414
Cu 0.7584 2.7582 0.5660
O 2.5801 2.1390 6.1317
Cu 4.6147 6.1054 4.8567
Se 4.3226 5.2212 1.7610
O 0.1087 2.2997 2.2813
O 3.9194 6.5778 6.5605
O 5.2667 1.2082 4.7138
O 0.3122 5.7057 8.7803
O 0.8986 5.3849 5.9108
O 3.5852 4.6567 4.9347
```

# 6
HgIrN2 | PBE-GGA | relaxed

Properties
**DOS(E_F)**: 2.25 states/eV/f.u.
**SG**: I4_1/amd, No. 141
**Raw formation energy**: 20.40 kcal/mol of atoms
**M_tot**: 0.00 μB/f.u.
**Calculated total energy**: -5.57 eV per atom

extended XYZ file:
```
8
Lattice="-0.5566 -0.7860 5.9883 -2.8337 -5.2767 -0.9560 2.0604 -5.0631 2.5986" Properties=species:S:1:pos:R:3 pbc="T T T"
N -0.7148 -7.7866 6.5906
N -1.4643 -4.8579 2.2937
N -0.0482 -2.2207 2.7798
Hg 0.0000 0.0000 0.0000
Ir -1.2343 -6.6856 2.0794
Hg -0.0957 -4.4402 5.5515
N -0.4326 -7.3864 3.5977
Ir -1.6952 -3.0314 2.5162
```

# 7
Hf5Mn2Bi2 | PBE-GGA | relaxed

Properties
**DOS(E_F)**: 7.20 states/eV/f.u.
**SG**: Cmce, No. 64
**M_tot**: 0.00 μB/f.u.
**Energy relative to the elements**: -0.132 eV per atom
**Calculated total energy**: -8.56 eV per atom

extended XYZ file:
```
18
Lattice="-3.5147 -5.7193 -2.7233 3.5608 -4.3395 4.5180 -7.1119 -1.9806 3.7029" Properties=species:S:1:pos:R:3 pbc="T T T"
Hf -1.7184 -2.4332 1.0219
Mn 1.0118 -2.3450 1.4768
Bi -4.7919 -2.3615 1.5085
Bi -5.8347 -5.3384 -0.5289
Hf -7.6706 -8.3198 1.7961
Bi -2.2969 -4.6485 3.0917
Bi -4.7688 -7.3908 2.4059
Hf 0.6049 -3.7195 3.7015
Hf 0.0231 -5.0294 0.8974
Mn -1.7702 -3.9559 -1.1849
Hf -4.1282 -6.0906 5.1545
Mn -0.9656 -7.7137 0.3179
Hf 0.0000 0.0000 0.0000
Hf -2.9375 -5.9487 0.3431
Hf -0.6142 -7.2350 3.0227
Hf -5.3473 -9.6061 4.4757
Hf -6.4515 -4.8043 2.4748
Mn 1.8163 -6.1028 2.9796
```

# 8
ZnGa2Pd4 | PBE-GGA | relaxed

Properties
**DOS(E_F)**: 3.33 states/eV/f.u.
**SG**: I4/mmm, No. 139
**M_tot**: 0.00 μB/f.u.
**Energy relative to the elements**: 0.044 eV per atom
**Calculated total energy**: -3.97 eV per atom
**Excess energy over the best structure of this formula in the dataset**: 587.1 meV per atom

extended XYZ file:
```
7
Lattice="4.6165 0.0000 0.0000 0.0000 4.6165 0.0000 2.3083 2.3083 6.2358" Properties=species:S:1:pos:R:3 pbc="T T T"
Pd 2.3083 0.0000 0.0000
Pd 4.6165 4.6165 2.4719
Ga 4.6165 4.6165 4.8576
Ga 2.3083 2.3083 1.3781
Zn 0.0000 0.0000 0.0000
Pd 0.0000 2.3083 0.0000
Pd 2.3083 2.3083 3.7638
```

# 9
LiCr3Ru | PBE-GGA | relaxed

Properties
**DOS(E_F)**: 4.67 states/eV/f.u.
**SG**: Pm-3m, No. 221
**M_tot**: 9.63 μB/f.u.
**Energy relative to the elements**: 1.129 eV per atom
**Calculated total energy**: -6.88 eV per atom
**Excess energy over the best structure of this formula in the dataset**: 0.0 meV per atom

extended XYZ file:
```
5
Lattice="-1.8449 4.3320 -0.1553 -2.4305 -0.8940 3.9354 3.5893 1.6212 2.5851" Properties=species:S:1:pos:R:3 pbc="T T T"
Li -0.3431 2.5296 3.1826
Cr -1.2153 -0.4470 1.9677
Ru 0.0000 0.0000 0.0000
Cr 1.7946 0.8106 1.2925
Cr -0.9224 2.1660 -0.0776
```

# 10
Ta2TiRe | PBE-GGA | relaxed

Properties
**DOS(E_F)**: 5.49 states/eV/f.u.
**SG**: Fm-3m, No. 225
**M_tot**: 0.00 μB/f.u.
**Energy relative to the elements**: -0.228 eV per atom
**Calculated total energy**: -11.24 eV per atom

extended XYZ file:
```
4
Lattice="4.5532 0.0000 0.0000 2.2766 3.9432 0.0000 2.2766 1.3144 3.7177" Properties=species:S:1:pos:R:3 pbc="T T T"
Ta 4.5532 2.6288 1.8589
Ta 0.0000 0.0000 0.0000
Ti 6.8299 3.9432 2.7883
Re 2.2766 1.3144 0.9294
```

- The lowest DOS(E_F) belongs to which entry?
  AcLa2BrO4